# 1
An optimized crystal structure of ZnCdOs2, computed with GGA-PBE.

a b c (Å): 4.429 4.429 3.167
angles (deg): 90.00 90.00 90.00
Sites, in units of the cell vectors:
Zn 0.000 0.000 0.000
Cd 0.500 0.500 0.000
Os 0.000 0.500 0.500
Os 0.500 0.000 0.500

Computed properties:
Total magnetization   1.68 Bohr magnetons per cell
Final energy   -5.3101 eV/atom
Energy of formation   0.85 eV per atom
E above lowest polymorph   682 meV per atom

---

# 2
An optimized crystal structure of Zn2CdOs, computed with GGA-PBE.

a b c (Å): 2.740 4.011 5.809
angles (deg): 90.00 91.65 90.00
Sites, in units of the cell vectors:
Zn 0.005 0.000 0.217
Zn 0.995 0.000 0.783
Cd 0.500 0.500 0.500
Os 0.500 0.500 0.000

Computed properties:
Total magnetization   0.00 Bohr magnetons per cell
Final energy   -3.4058 eV/atom
Energy of formation   0.27 eV per atom

---

# 3
An optimized crystal structure of ZnCdOs2, computed with GGA-PBE.

a b c (Å): 9.262 9.262 9.262
angles (deg): 17.37 17.37 17.37
Sites, in units of the cell vectors:
Zn 0.000 0.000 0.000
Cd 0.500 0.500 0.500
Os 0.255 0.255 0.255
Os 0.745 0.745 0.745

Computed properties:
Total magnetization   0.00 Bohr magnetons per cell
Final energy   -5.7073 eV/atom
Energy of formation   0.45 eV per atom
E above lowest polymorph   285 meV per atom

---

# 4
An optimized crystal structure of Zn2CdOs, computed with GGA-PBE.

a b c (Å): 4.279 4.279 3.367
angles (deg): 90.00 90.00 90.00
Sites, in units of the cell vectors:
Zn 0.000 0.500 0.000
Zn 0.500 0.000 0.000
Cd 0.000 0.000 0.500
Os 0.500 0.500 0.500

Computed properties:
Total magnetization   0.00 Bohr magnetons per cell
Final energy   -3.4089 eV/atom
Energy of formation   0.26 eV per atom

---

# 5
An optimized crystal structure of Zn2CdOs, computed with GGA-PBE.

a b c (Å): 5.234 5.234 5.234
angles (deg): 143.08 132.64 61.52
Sites, in units of the cell vectors:
Zn 0.000 0.000 0.000
Zn 0.752 0.252 0.500
Cd 0.262 0.762 0.500
Os 0.522 0.522 0.000

Computed properties:
Total magnetization   0.00 Bohr magnetons per cell
Final energy   -3.3848 eV/atom
Energy of formation   0.29 eV per atom

---

# 6
An optimized crystal structure of Zn2CdOs, computed with GGA-PBE.

a b c (Å): 9.515 9.515 9.515
angles (deg): 155.90 155.90 34.35
Sites, in units of the cell vectors:
Zn 0.071 0.625 0.946
Zn 0.375 0.321 0.446
Zn 0.679 0.125 0.054
Zn 0.875 0.929 0.554
Cd 0.250 0.750 0.500
Cd 0.500 0.500 0.000
Os 0.000 0.000 0.000
Os 0.750 0.250 0.500

Computed properties:
Total magnetization   1.28 Bohr magnetons per cell
Final energy   -3.0930 eV/atom
Energy of formation   0.58 eV per atom

---

# 7
An optimized crystal structure of ZnCd4Os, computed with GGA-PBE.

a b c (Å): 5.495 5.495 5.495
angles (deg): 60.00 60.00 60.00
Sites, in units of the cell vectors:
Zn 0.000 0.000 0.000
Cd 0.126 0.625 0.625
Cd 0.625 0.126 0.625
Cd 0.625 0.625 0.126
Cd 0.625 0.625 0.625
Os 0.250 0.250 0.250

Computed properties:
Total magnetization   0.00 Bohr magnetons per cell
Final energy   -1.9811 eV/atom
Energy of formation   0.71 eV per atom

---

# 8
An optimized crystal structure of ZnCdOs, computed with GGA-PBE.

a b c (Å): 5.187 5.187 5.187
angles (deg): 149.87 134.35 55.67
Sites, in units of the cell vectors:
Zn 0.000 0.000 0.000
Cd 0.690 0.690 0.000
Os 0.376 0.376 0.000

Computed properties:
Total magnetization   0.00 Bohr magnetons per cell
Final energy   -4.0292 eV/atom
Energy of formation   0.44 eV per atom
E above lowest polymorph   335 meV per atom

---

# 9
An optimized crystal structure of ZnCdOs3, computed with GGA-PBE.

a b c (Å): 4.846 4.846 4.846
angles (deg): 90.00 90.00 90.00
Sites, in units of the cell vectors:
Zn 0.000 0.000 0.000
Cd 0.500 0.500 0.500
Os 0.000 0.500 0.500
Os 0.500 0.000 0.500
Os 0.500 0.500 0.000

Computed properties:
Total magnetization   5.21 Bohr magnetons per cell
Final energy   -4.0928 eV/atom
Energy of formation   3.08 eV per atom
E above lowest polymorph   1077 meV per atom

---

# 10
An optimized crystal structure of ZnCdOs2, computed with GGA-PBE.

a b c (Å): 5.540 5.540 5.540
angles (deg): 150.12 129.77 59.55
Sites, in units of the cell vectors:
Zn 0.000 0.000 0.000
Cd 0.275 0.775 0.500
Os 0.541 0.541 0.000
Os 0.760 0.260 0.500

Computed properties:
Total magnetization   0.00 Bohr magnetons per cell
Final energy   -5.5945 eV/atom
Energy of formation   0.57 eV per atom
E above lowest polymorph   398 meV per atom

---

# 11
An optimized crystal structure of Zn2CdOs, computed with GGA-PBE.

a b c (Å): 4.345 5.451 5.451
angles (deg): 29.04 90.00 90.00
Sites, in units of the cell vectors:
Zn 0.000 0.000 0.000
Zn 0.500 0.136 0.136
Cd 0.000 0.752 0.752
Os 0.500 0.408 0.408

Computed properties:
Total magnetization   0.00 Bohr magnetons per cell
Final energy   -3.3960 eV/atom
Energy of formation   0.28 eV per atom

---

# 12
An optimized crystal structure of Zn2CdOs, computed with GGA-PBE.

a b c (Å): 2.800 2.800 9.510
angles (deg): 90.00 90.00 118.93
Sites, in units of the cell vectors:
Zn 0.000 0.000 0.230
Zn 0.000 0.000 0.770
Cd 0.500 0.500 0.500
Os 0.500 0.500 0.000

Computed properties:
Total magnetization   0.00 Bohr magnetons per cell
Final energy   -3.3849 eV/atom
Energy of formation   0.29 eV per atom

---

Question: Number 9 is which compound?
Answer: ZnCdOs3

---

Question: Look up the final energy of the third one.
Answer: -5.7073 eV/atom